Run i
A plane-wave DFT calculation with PBE was carried out for a geometry-optimized BP3W structure.

* density: 7.226 g/cm³

```
data_BP3W
_symmetry_space_group_name_H-M 'P m -3 m'
_symmetry_Int_Tables_number 221
_symmetry_space_group_name_Hall '-P 4 2 3'
_cell_length_a 4.043
_cell_length_b 4.043
_cell_length_c 4.043
_cell_angle_alpha 90.00
_cell_angle_beta 90.00
_cell_angle_gamma 90.00
loop_
_atom_site_label
_atom_site_fract_x
_atom_site_fract_y
_atom_site_fract_z
B1 0.000 0.000 0.000
P1 0.000 0.000 0.500
W1 0.500 0.500 0.500
```

Run ii
A plane-wave DFT calculation with PBE was carried out for a geometry-optimized BP3W structure.

* density: 4.609 g/cm³

```
data_BP3W
_symmetry_space_group_name_H-M 'P m -3 m'
_symmetry_Int_Tables_number 221
_symmetry_space_group_name_Hall '-P 4 2 3'
_cell_length_a 4.697
_cell_length_b 4.697
_cell_length_c 4.697
_cell_angle_alpha 90.00
_cell_angle_beta 90.00
_cell_angle_gamma 90.00
loop_
_atom_site_label
_atom_site_fract_x
_atom_site_fract_y
_atom_site_fract_z
B1 0.000 0.000 0.000
P1 0.000 0.500 0.500
W1 0.500 0.500 0.500
```

Most stable one: run i, least stable one: run ii.

Run i
A plane-wave DFT calculation with PBE was carried out for a geometry-optimized Y2BP structure.

* density: 4.348 g/cm³

```
data_Y2BP
_symmetry_space_group_name_H-M 'R -3 m'
_symmetry_Int_Tables_number 166
_symmetry_space_group_name_Hall '-R 3 2"'
_cell_length_a 3.8442
_cell_length_b 3.8442
_cell_length_c 19.6584
_cell_angle_alpha 90.00
_cell_angle_beta 90.00
_cell_angle_gamma 120.00
loop_
_atom_site_label
_atom_site_fract_x
_atom_site_fract_y
_atom_site_fract_z
Y1 0.0000 0.0000 0.2481
B1 0.0000 0.0000 0.5000
P1 0.0000 0.0000 0.0000
```

Run ii
A plane-wave DFT calculation with PBE was carried out for a geometry-optimized Y2BP structure.

* density: 4.240 g/cm³

```
data_Y2BP
_symmetry_space_group_name_H-M 'I -4 2 d'
_symmetry_Int_Tables_number 122
_symmetry_space_group_name_Hall 'I -4 2bw'
_cell_length_a 7.043
_cell_length_b 7.043
_cell_length_c 6.935
_cell_angle_alpha 90.00
_cell_angle_beta 90.00
_cell_angle_gamma 90.00
loop_
_atom_site_label
_atom_site_fract_x
_atom_site_fract_y
_atom_site_fract_z
Y1 0.227 0.750 0.125
B1 0.000 0.000 0.000
P1 0.000 0.000 0.500
```

Most stable one: run i, least stable one: run ii.

Run i
A plane-wave DFT calculation with PBE was carried out for a geometry-optimized Zn3BP structure.

* density: 5.298 g/cm³

```
data_Zn3BP
_symmetry_space_group_name_H-M 'P m -3 m'
_symmetry_Int_Tables_number 221
_symmetry_space_group_name_Hall '-P 4 2 3'
_cell_length_a 4.210
_cell_length_b 4.210
_cell_length_c 4.210
_cell_angle_alpha 90.00
_cell_angle_beta 90.00
_cell_angle_gamma 90.00
loop_
_atom_site_label
_atom_site_fract_x
_atom_site_fract_y
_atom_site_fract_z
Zn1 0.000 0.000 0.500
B1 0.000 0.000 0.000
P1 0.500 0.500 0.500
```

Run ii
A plane-wave DFT calculation with PBE was carried out for a geometry-optimized Zn3BP structure.

* density: 4.040 g/cm³

```
data_Zn3BP
_symmetry_space_group_name_H-M 'P m -3 m'
_symmetry_Int_Tables_number 221
_symmetry_space_group_name_Hall '-P 4 2 3'
_cell_length_a 4.608
_cell_length_b 4.608
_cell_length_c 4.608
_cell_angle_alpha 90.00
_cell_angle_beta 90.00
_cell_angle_gamma 90.00
loop_
_atom_site_label
_atom_site_fract_x
_atom_site_fract_y
_atom_site_fract_z
Zn1 0.000 0.000 0.500
B1 0.500 0.500 0.500
P1 0.000 0.000 0.000
```

Most stable one: run i, least stable one: run ii.